Density functional theory data (PBE) for an optimized crystal structure of Hf2Th2Sc3.

Unit cell a=3.352 b=5.670 c=9.859 alpha=85.68 beta=89.92 gamma=73.09
Positions (direct):
Hf: 0.068 0.371 0.284
Hf: 0.932 0.629 0.716
Th: 0.217 0.071 0.846
Th: 0.783 0.929 0.154
Sc: 0.361 0.776 0.443
Sc: 0.500 0.500 0.000
Sc: 0.639 0.224 0.557

Computed properties:
E_form   0.09 eV per atom
Density   8.88 g cm⁻³

***

Density functional theory data (PBE) for an optimized crystal structure of Ce2TlCu.

Unit cell a=5.157 b=5.157 c=8.857 alpha=90.00 beta=90.00 gamma=120.00
Positions (direct):
Ce: 0.333 0.667 0.149
Ce: 0.333 0.667 0.490
Ce: 0.667 0.333 0.510
Ce: 0.667 0.333 0.851
Tl: 0.000 0.000 0.306
Tl: 0.000 0.000 0.694
Cu: 0.333 0.667 0.820
Cu: 0.667 0.333 0.180

Computed properties:
E_form   0.04 eV per atom
Density   8.92 g cm⁻³

***

Density functional theory data (PBE) for an optimized crystal structure of Zn12AgAu7.

Unit cell a=7.284 b=7.284 c=7.284 alpha=106.32 beta=106.32 gamma=106.32
Positions (direct):
Zn: 0.132 0.832 0.270
Zn: 0.168 0.730 0.868
Zn: 0.170 0.595 0.479
Zn: 0.270 0.132 0.832
Zn: 0.405 0.521 0.830
Zn: 0.479 0.170 0.595
Zn: 0.521 0.830 0.405
Zn: 0.595 0.479 0.170
Zn: 0.730 0.868 0.168
Zn: 0.830 0.405 0.521
Zn: 0.832 0.270 0.132
Zn: 0.868 0.168 0.730
Ag: 0.000 0.000 0.000
Au: 0.085 0.196 0.465
Au: 0.196 0.465 0.085
Au: 0.465 0.085 0.196
Au: 0.500 0.500 0.500
Au: 0.535 0.915 0.804
Au: 0.804 0.535 0.915
Au: 0.915 0.804 0.535

Computed properties:
E_form   -0.14 eV per atom
Density   11.52 g cm⁻³